[1]
Below is an optimized crystal structure of MgSbPdAu, with properties calculated at the PBE level.

a = 4.7412 Å, b = 4.7412 Å, c = 4.7412 Å
α = 60.00°, β = 60.00°, γ = 60.00°
With the nearest neighbours (Å) after each atom.
Element x y z (fractional)
Mg 0.0000 0.0000 0.0000  4 Au 2.90, 4 Pd 2.90
Sb 0.5000 0.5000 0.5000  4 Pd 2.90, 4 Au 2.90
Pd 0.2500 0.2500 0.2500  4 Sb 2.90, 4 Mg 2.90
Au 0.7500 0.7500 0.7500  4 Mg 2.90, 4 Sb 2.90

Results
The space-group type is F-43m. The relative energy among the computed polymorphs comes out at 0.0000 eV/atom. The total energy is -3.90 eV per atom.


[2]
Below is an optimized crystal structure of Sm3Mg3Pd2Au, with properties calculated at the PBE level.

a = 7.5890 Å, b = 7.5890 Å, c = 4.1267 Å
α = 90.00°, β = 90.00°, γ = 120.00°
With the nearest neighbours (Å) after each atom.
Element x y z (fractional)
Sm 0.0000 0.4158 0.0000  4 Pd 3.08, 1 Au 3.16, 6 Mg 3.29-3.44
Sm 0.4158 0.0000 0.0000  4 Pd 3.08, 1 Au 3.16, 6 Mg 3.29-3.44
Sm 0.5842 0.5842 0.0000  4 Pd 3.08, 1 Au 3.16, 6 Mg 3.29-3.44
Mg 0.0000 0.7540 0.5000  2 Au 2.78, 2 Pd 2.92
Mg 0.2460 0.2460 0.5000  2 Au 2.78, 2 Pd 2.92
Mg 0.7540 0.0000 0.5000  2 Au 2.78, 2 Pd 2.92
Pd 0.3333 0.6667 0.5000  3 Mg 2.92, 6 Sm 3.08
Pd 0.6667 0.3333 0.5000  3 Mg 2.92, 6 Sm 3.08
Au 0.0000 0.0000 0.0000  6 Mg 2.78

Results
The space-group type is P-62m. As for the magnetization: 0.01 μB/cell. The total energy is -4.27 eV per atom.